Entry 1:
Material: CrCd2OsO8
Method: DFT, GGA+U
State: optimized geometry

```
CrCd2OsO8
1.0
3.4472 -3.5578 0.0000
3.4472 3.5578 0.0000
0.0000 0.0000 6.1978
Cr Cd Os O
1 2 1 8
direct
0.0000 0.0000 0.0000
0.5000 0.5000 0.2446
0.5000 0.5000 0.7554
0.0000 0.0000 0.5000
0.1736 0.8264 0.2587
0.1736 0.8264 0.7413
0.2545 0.2545 0.0000
0.2676 0.2676 0.5000
0.7324 0.7324 0.5000
0.7455 0.7455 0.0000
0.8264 0.1736 0.2587
0.8264 0.1736 0.7413
```

- VASP energy: -72.11 eV/f.u.
- Calculated volume: 12.67 Å³/atom
- Magnetic moment: 1.5 μB/cell
- Space-group type: No. 65
- D(E_F): 0.1850 states/eV/atom

Entry 2:
Material: LiMoO2
Method: DFT, GGA+U
State: optimized geometry

```
LiMoO2
1.0
0.0000 2.6223 2.6223
2.6223 0.0000 2.6223
2.6223 2.6223 0.0000
Li Mo O
1 1 2
direct
0.0000 0.0000 0.0000
0.5000 0.5000 0.5000
0.2500 0.2500 0.2500
0.7500 0.7500 0.7500
```

- Calculated volume: 9.02 Å³/atom
- E above lowest polymorph: 622 meV per atom
- Magnetic moment: 1.0 μB/cell
- Space-group type: No. 225
- D(E_F): 1.0014 states/eV/atom